Record 1
NaLaNiF6 (PBE with a Hubbard U, optimized geometry); energy = -5.347 eV per atom; space-group type = P-31c (163); mass density = 4.15 Mg/m³
1.0
-1.689 -1.719 5.348
5.344 -1.394 -1.978
3.271 7.602 3.477
Na La Ni F
2 2 2 12
direct
0.000 0.000 0.000
0.000 0.000 0.500
0.333 0.667 0.250
0.667 0.333 0.750
0.667 0.333 0.250
0.333 0.667 0.750
0.670 0.629 0.130
0.960 0.330 0.130
0.330 0.960 0.630
0.040 0.670 0.870
0.371 0.330 0.370
0.960 0.629 0.370
0.629 0.960 0.870
0.670 0.040 0.370
0.040 0.371 0.630
0.371 0.040 0.130
0.629 0.670 0.630
0.330 0.371 0.870


Record 2
Na2LaNiF8 (PBE with a Hubbard U, optimized geometry); energy = -4.939 eV per atom; space-group type = P2/m (10); mass density = 3.81 Mg/m³
1.0
4.540 -0.087 -0.001
-0.048 5.371 -0.007
0.005 0.006 7.067
Na La Ni F
2 1 1 8
direct
0.500 0.500 0.772
0.500 0.500 0.228
0.000 0.000 0.500
0.000 0.000 0.000
0.139 0.793 0.212
0.676 0.782 0.000
0.861 0.207 0.213
0.861 0.207 0.788
0.324 0.218 0.000
0.139 0.793 0.787
0.586 0.746 0.500
0.414 0.254 0.500